A geometry-optimized AlReP structure, computed with GGA-PBE.

As for the energy of formation from the pure elements: 285 meV per atom. The value obtained for the energy is -6.9153 eV per atom. As for the crystal system: cubic.

It has space group F-43m (No. 216), with a = 5.813 Å, b = 5.813 Å, c = 5.813 Å, α = 90.00°, β = 90.00° and γ = 90.00°. The asymmetric unit holds Al at (0.000, 0.000, 0.000), Re at (0.250, 0.250, 0.750) and P at (0.000, 0.000, 0.500).